Version P
DFT (GGA-PBE) results for an optimized crystal structure of LiBeNi.

Properties
DOS at the Fermi energy	1.14	states/eV per cell

POSCAR file:
```
LiBeNi
1.0
3.6744 0.0000 0.0000
1.8372 3.1821 0.0000
1.8372 1.0607 3.0001
Li Be Ni
1 1 1
direct
0.0000 0.0000 0.0000
0.7500 0.7500 0.7500
0.5000 0.5000 0.5000
```

Version Q
DFT (GGA-PBE) results for an optimized crystal structure of LiBeNi.

Properties
DOS at the Fermi energy	1.14	states/eV per cell

POSCAR file:
```
LiBeNi
1.0
3.8053 0.0000 0.0000
-1.9026 3.2955 0.0000
0.0000 0.0000 2.4005
Li Ni Be
1 1 1
direct
0.3333 0.6667 0.3206
0.6667 0.3333 0.6725
0.0000 0.0000 0.0069
```

In meV per atom, relative to the most stable structure: version P 307; version Q 0.

Version P
DFT (GGA-PBE) results for an optimized crystal structure of LiBeNi.

Properties
DOS at the Fermi energy	0.69	states/eV per cell

POSCAR file:
```
LiBeNi
1.0
-3.4381 3.7341 -0.0805
-3.9701 1.4647 2.8170
4.8321 -1.5434 -0.3341
Ni Be Li
1 1 1
direct
0.6415 0.6413 0.0002
0.0255 0.0260 0.9995
0.3330 0.3327 0.0003
```

Version Q
DFT (GGA-PBE) results for an optimized crystal structure of LiBeNi.

Properties
DOS at the Fermi energy	1.71	states/eV per cell

POSCAR file:
```
LiBeNi
1.0
-1.6763 1.3300 -1.4320
1.2417 -1.7282 -3.0587
-3.5185 -5.2629 1.5453
Ni Li Be
2 2 2
direct
0.0851 0.2500 0.1703
0.9149 0.7500 0.8297
0.7812 0.2500 0.5624
0.2188 0.7500 0.4376
0.5560 0.7500 0.1120
0.4440 0.2500 0.8880
```

In meV per atom, relative to the most stable structure: version P 92; version Q 0.

Version P
DFT (GGA-PBE) results for an optimized crystal structure of Li3BeO3.

Properties
DOS at the Fermi energy	2.35	states/eV per cell

POSCAR file:
```
Li3BeO3
1.0
-2.6902 3.9623 -4.0942
3.3300 -5.0375 -1.3513
-1.8658 -5.7344 1.3884
Li O Be
6 6 2
direct
0.5000 0.2008 0.7992
0.4853 0.7877 0.7877
0.5000 0.7992 0.2008
0.0000 0.7841 0.2159
0.0000 0.2159 0.7841
0.5147 0.2123 0.2123
0.7227 0.9589 0.5232
0.7876 0.0300 0.0300
0.2773 0.4768 0.0411
0.2124 0.9700 0.9700
0.2773 0.0411 0.4768
0.7227 0.5232 0.9589
0.9031 0.7965 0.7965
0.0969 0.2035 0.2035
```

Version Q
DFT (GGA-PBE) results for an optimized crystal structure of Li3BeO3.

Properties
DOS at the Fermi energy	1.36	states/eV per cell

POSCAR file:
```
Li3BeO3
1.0
2.8076 0.0000 0.0000
-0.9359 5.1905 0.0000
-0.9359 -2.5952 4.4951
O Li Be
3 3 1
direct
0.4413 0.0000 0.2973
0.1440 0.7027 0.7027
0.4413 0.2973 0.0000
0.4841 0.4405 0.4405
0.0437 0.5595 0.0000
0.0437 0.0000 0.5595
0.3769 0.0000 0.0000
```

In meV per atom, relative to the most stable structure: version P 68; version Q 0.

Version P
DFT (GGA-PBE) results for an optimized crystal structure of Li2BeO.

Properties
DOS at the Fermi energy	0.44	states/eV per cell

POSCAR file:
```
Li2BeO
1.0
-1.9833 -7.5300 -2.5000
4.6782 -3.1912 5.9004
0.1521 -5.3604 2.6481
Be Li O
2 4 2
direct
0.2500 0.7500 0.5000
0.5000 0.5000 0.0000
0.9639 0.6250 0.2500
0.8750 0.0361 0.7500
0.7861 0.1250 0.2500
0.3750 0.2139 0.7500
0.7500 0.2500 0.5000
0.0000 0.0000 0.0000
```

Version Q
DFT (GGA-PBE) results for an optimized crystal structure of Li2BeO.

Properties
DOS at the Fermi energy	0.00	states/eV per cell

POSCAR file:
```
Li2BeO
1.0
0.0000 2.7720 2.7720
2.7720 0.0000 2.7720
2.7720 2.7720 0.0000
Li O Be
2 1 1
direct
0.7500 0.7500 0.7500
0.2500 0.2500 0.2500
0.5000 0.5000 0.5000
0.0000 0.0000 0.0000
```

In meV per atom, relative to the most stable structure: version P 0; version Q 824.

Version P
DFT (GGA-PBE) results for an optimized crystal structure of LiBeOs.

Properties
DOS at the Fermi energy	1.68	states/eV per cell

POSCAR file:
```
LiBeOs
1.0
-0.8375 -2.1866 3.1048
2.7923 -2.0963 1.7122
1.3219 1.0219 3.5116
Os Be Li
1 1 1
direct
0.7500 0.7500 0.7500
0.0000 0.0000 0.0000
0.5000 0.5000 0.5000
```

Version Q
DFT (GGA-PBE) results for an optimized crystal structure of LiBeOs.

Properties
DOS at the Fermi energy	1.51	states/eV per cell

POSCAR file:
```
LiBeOs
1.0
-2.2875 -1.9977 3.9767
1.3076 -3.5332 3.2931
1.3033 4.1514 -2.4708
Os Be Li
1 1 1
direct
0.6423 0.6423 0.0000
0.0166 0.0166 0.0000
0.3411 0.3411 0.0000
```

In meV per atom, relative to the most stable structure: version P 837; version Q 0.

Version P
DFT (GGA-PBE) results for an optimized crystal structure of LiBeOs.

Properties
DOS at the Fermi energy	2.03	states/eV per cell

POSCAR file:
```
LiBeOs
1.0
6.7154 0.0006 -0.0004
6.0004 2.4970 -0.0228
0.7149 -0.9182 2.3215
Os Be Li
1 1 1
direct
0.6564 0.6564 0.3436
0.0085 0.0085 0.9915
0.3351 0.3351 0.6649
```

Version Q
DFT (GGA-PBE) results for an optimized crystal structure of LiBeOs.

Properties
DOS at the Fermi energy	1.77	states/eV per cell

POSCAR file:
```
LiBeOs
1.0
4.0175 0.0000 0.0000
-2.0088 3.4793 0.0000
0.0000 0.0000 2.4845
Li Be Os
1 1 1
direct
0.3333 0.6667 0.2702
0.0000 0.0000 0.0311
0.6667 0.3333 0.6987
```

In meV per atom, relative to the most stable structure: version P 26; version Q 0.

Version P
DFT (GGA-PBE) results for an optimized crystal structure of LiBeOs.

Properties
DOS at the Fermi energy	5.64	states/eV per cell

POSCAR file:
```
LiBeOs
1.0
4.9405 -1.2574 -0.2694
-1.1451 4.9677 -0.2694
1.2806 1.2519 6.1735
Li Be Os
4 4 4
direct
0.6897 0.9491 0.4137
0.2283 0.9703 0.5807
0.9491 0.6897 0.9137
0.9703 0.2283 0.0807
0.3509 0.5660 0.7473
0.0996 0.8211 0.2466
0.5660 0.3509 0.2473
0.8211 0.0996 0.7466
0.1912 0.4550 0.4346
0.4650 0.7268 0.0592
0.7268 0.4650 0.5592
0.4550 0.1912 0.9346
```

Version Q
DFT (GGA-PBE) results for an optimized crystal structure of LiBeOs.

Properties
DOS at the Fermi energy	1.62	states/eV per cell

POSCAR file:
```
LiBeOs
1.0
-1.4197 2.4225 2.4790
-3.5244 -0.4009 1.2030
-0.6643 -1.0954 3.5197
Li Be Os
1 1 1
direct
0.0000 0.0000 0.0000
0.7500 0.7500 0.7500
0.5000 0.5000 0.5000
```

In meV per atom, relative to the most stable structure: version P 0; version Q 471.

Version P
DFT (GGA-PBE) results for an optimized crystal structure of LiBeOs3.

Properties
DOS at the Fermi energy	8.94	states/eV per cell

POSCAR file:
```
LiBeOs3
1.0
-1.3891 2.8798 2.5911
-3.8678 -1.1851 -0.7564
0.2168 -2.6906 3.1065
Os Be Li
3 1 1
direct
0.0000 0.5000 0.0000
0.5000 0.0000 0.0000
0.0000 0.0000 0.5000
0.0000 0.0000 0.0000
0.5000 0.5000 0.5000
```

Version Q
DFT (GGA-PBE) results for an optimized crystal structure of LiBeOs3.

Properties
DOS at the Fermi energy	7.47	states/eV per cell

POSCAR file:
```
LiBeOs3
1.0
4.0597 0.0000 0.0000
0.0000 4.0597 0.0000
0.0000 0.0000 4.0597
Os Li Be
3 1 1
direct
0.0000 0.0000 0.5000
0.0000 0.5000 0.0000
0.5000 0.0000 0.0000
0.0000 0.0000 0.0000
0.5000 0.5000 0.5000
```

In meV per atom, relative to the most stable structure: version P 0; version Q 656.